[1]
Here is a relaxed AlGeMo2Pt crystal from the Alexandria database. Energies are from PBE.

E   -30.3 eV for the cell shown
Symmetry   P4/mmm
ΔE_f   1145.0 meV/atom
DOS(E_F)   5.879 states/eV/cell

Structure (CIF):
```
data_AlGeMo2Pt
_space_group_name_H-M_alt 'P 1'
_space_group_IT_number 1
_space_group_name_Hall 'P 1'
_cell_length_a 4.593
_cell_length_b 4.593
_cell_length_c 4.473
_cell_angle_alpha 90.00
_cell_angle_beta 90.00
_cell_angle_gamma 90.00
loop_
_atom_site_label
_atom_site_type_symbol
_atom_site_fract_x
_atom_site_fract_y
_atom_site_fract_z
_atom_site_occupancy
Al1 Al 0.000 0.000 0.000 1
Ge1 Ge 0.000 0.000 0.500 1
Mo1 Mo 0.000 0.500 0.500 1
Mo2 Mo 0.500 0.000 0.500 1
Pt1 Pt 0.500 0.500 0.000 1
```

=====

[2]
Here is a relaxed AlGeMo2Se crystal from the Alexandria database. Energies are from PBE.

E   -27.5 eV for the cell shown
Symmetry   P4/mmm
DOS(E_F)   5.333 states/eV/cell
Formation energy from raw total energies   116.0 kJ/mol of atoms

Structure (CIF):
```
data_AlGeMo2Se
_space_group_name_H-M_alt 'P 1'
_space_group_IT_number 1
_space_group_name_Hall 'P 1'
_cell_length_a 4.773
_cell_length_b 4.773
_cell_length_c 4.419
_cell_angle_alpha 90.00
_cell_angle_beta 90.00
_cell_angle_gamma 90.00
loop_
_atom_site_label
_atom_site_type_symbol
_atom_site_fract_x
_atom_site_fract_y
_atom_site_fract_z
_atom_site_occupancy
Al1 Al 0.000 0.000 0.000 1
Ge1 Ge 0.000 0.000 0.500 1
Mo1 Mo 0.000 0.500 0.500 1
Mo2 Mo 0.500 0.000 0.500 1
Se1 Se 0.500 0.500 0.000 1
```